Record 1
VASP calculation (PBE) on TiAg2BN after structural relaxation.

Cell lengths 5.231, 5.231, 3.696 Å; angles 90.00, 90.00, 90.00 degrees
Positions (direct):
Ti1 0.000 0.000 0.000
Ag1 0.000 0.500 0.000
Ag2 0.500 0.000 0.000
B1 0.500 0.500 0.500
N1 0.000 0.000 0.500

- Total magnetization: 0.00 μB/f.u.
- Space group: P4/mmm
- DFT total energy: -21.5 eV/cell

***

Record 2
VASP calculation (PBE) on Rb3C after structural relaxation.

Cell lengths 12.689, 12.689, 4.295 Å; angles 90.00, 90.00, 139.17 degrees
Positions (direct):
Rb1 0.125 0.316 0.250
Rb2 0.241 0.759 0.750
Rb3 0.316 0.125 0.750
Rb4 0.684 0.875 0.250
Rb5 0.759 0.241 0.250
Rb6 0.875 0.684 0.750
C1 0.148 0.852 0.250
C2 0.852 0.148 0.750

- Energy relative to the elements: 1.1012 eV/atom
- Total magnetization: 1.84 μB/f.u.
- Space group: Cmcm
- DFT total energy: -15.4 eV/cell
- Energy relative to the lowest polymorph listed for this composition: 22 meV per atom